Record 1
Entry from Alexandria via LeMat-Bulk: CaAl2Tc after structural relaxation (PBE).

Computed properties:
- magnetization (Bohr magnetons per cell) = 0.0
- theoretical density (g/cm³) = 4.32
- calculated formation energy (eV/f.u.) = 0.42

Lattice parameters (Å, degrees): 3.4030 4.6492 9.3389 90.00 90.00 90.00
Closest atoms and distances in Å follow each position.
Space group Imm2 (No. 44)
Symmetry-distinct sites (fractional):
Ca 0.0000 0.0000 0.0000 x2  8 Al 2.89-3.12, 4 Tc 2.97-3.22
Al 0.0000 0.0000 0.5305 x2  2 Tc 2.59, 4 Ca 2.89
Al 0.0000 0.5000 0.7772 x2  4 Tc 2.90, 2 Al 2.91, 4 Ca 3.10-3.12
Tc 0.0000 0.5000 0.2389 x2  2 Al 2.59

Record 2
Entry from Alexandria via LeMat-Bulk: CaAlTc2 after structural relaxation (PBE).

Computed properties:
- magnetization (Bohr magnetons per cell) = 0.0
- theoretical density (g/cm³) = 5.46
- calculated formation energy (eV/f.u.) = 0.66

Lattice parameters (Å, degrees): 8.1843 3.1184 6.3278 90.00 98.05 90.00
Closest atoms and distances in Å follow each position.
Space group Cm (No. 8)
Symmetry-distinct sites (fractional):
Ca 0.0000 0.0000 0.0000 x2  3 Al 3.05-3.18, 5 Tc 3.06-3.38, 2 Ca 3.12
Al 0.2378 0.0000 0.6700 x2  5 Tc 2.63-2.66
Tc 0.0001 0.5000 0.4737 x2  3 Tc 2.45-2.53, 3 Al 2.63-2.66
Tc 0.2658 0.5000 0.3368 x2  3 Tc 2.45-2.53, 2 Al 2.66

Record 3
Entry from Alexandria via LeMat-Bulk: CaAlTc2 after structural relaxation (PBE).

Computed properties:
- magnetization (Bohr magnetons per cell) = 0.0
- theoretical density (g/cm³) = 5.98
- calculated formation energy (eV/f.u.) = -0.07

Lattice parameters (Å, degrees): 3.0960 3.0960 7.6183 90.00 90.00 90.00
Closest atoms and distances in Å follow each position.
Space group P4mm (No. 99)
Symmetry-distinct sites (fractional):
Ca 0.0000 0.0000 0.0000 x1  4 Ca 3.10, 4 Tc 3.15, 4 Al 3.24
Al 0.5000 0.5000 0.6858 x1  5 Tc 2.71-2.96
Tc 0.0000 0.0000 0.4770 x1  4 Tc 2.58, 4 Al 2.71
Tc 0.5000 0.5000 0.2977 x1  4 Tc 2.58

Record 4
Entry from Alexandria via LeMat-Bulk: CaAl2Tc after structural relaxation (PBE).

Computed properties:
- magnetization (Bohr magnetons per cell) = 0.0
- theoretical density (g/cm³) = 4.50
- calculated formation energy (eV/f.u.) = 0.88

Lattice parameters (Å, degrees): 6.5681 6.5681 6.5681 90.00 90.00 90.00
Closest atoms and distances in Å follow each position.
Space group F-43m (No. 216)
Symmetry-distinct sites (fractional):
Ca 0.0000 0.0000 0.0000 x4  4 Al 2.84, 4 Tc 2.84
Al 0.0000 0.0000 0.5000 x4  4 Tc 2.84, 4 Al 2.84
Al 0.2500 0.2500 0.2500 x4  4 Al 2.84, 4 Ca 2.84
Tc 0.2500 0.2500 0.7500 x4  4 Ca 2.84, 4 Al 2.84

Record 5
Entry from Alexandria via LeMat-Bulk: CaAl2Tc after structural relaxation (PBE).

Computed properties:
- magnetization (Bohr magnetons per cell) = 0.0
- theoretical density (g/cm³) = 4.48
- calculated formation energy (eV/f.u.) = 0.58

Lattice parameters (Å, degrees): 5.7620 8.6927 2.8406 90.00 90.00 90.00
Closest atoms and distances in Å follow each position.
Space group Cmmm (No. 65)
Symmetry-distinct sites (fractional):
Ca 0.0000 0.0000 0.0000 x2  2 Ca 2.84, 2 Tc 2.88, 8 Al 2.97
Al 0.2500 0.2500 0.5000 x4  4 Al 2.84-2.88, 4 Tc 2.97, 4 Ca 2.97
Tc 0.0000 0.5000 0.0000 x2  2 Tc 2.84, 2 Ca 2.88, 8 Al 2.97

Record 6
Entry from Alexandria via LeMat-Bulk: CaAlTc2 after structural relaxation (PBE).

Computed properties:
- magnetization (Bohr magnetons per cell) = 0.0
- theoretical density (g/cm³) = 5.83
- calculated formation energy (eV/f.u.) = 0.60

Lattice parameters (Å, degrees): 2.9566 4.1604 6.2642 90.00 103.35 90.00
Closest atoms and distances in Å follow each position.
Space group Pm (No. 6)
Symmetry-distinct sites (fractional):
Ca 0.0000 0.0000 0.0000 x1  2 Ca 2.96, 5 Tc 3.07-3.12, 4 Al 3.25
Al 0.3408 0.5000 0.6698 x1  6 Tc 2.71-2.78, 2 Al 2.96
Tc 0.6418 0.5000 0.2934 x1  2 Tc 2.42, 1 Al 2.71
Tc 0.7639 0.0000 0.4959 x1  2 Tc 2.42

The lowest calculated formation energy belongs to which entry?
number 3

Which of these has the lowest theoretical density?
number 1

magnetization of number 1 (CaAl2Tc)?
0.0 Bohr magnetons per cell

Number 4 is which compound?
CaAl2Tc